[1]
DFT (GGA-PBE) results for a geometry-optimized Rb2TcPtPb structure.

a b c (Å): 5.6060 5.6060 5.3196
angles (deg): 90.00 90.00 90.00
Closest atoms and distances in Å follow each position.
Positions (direct):
Rb 0.0000 0.5000 0.0000  2 Tc 2.80
Rb 0.5000 0.0000 0.0000  2 Tc 2.80
Tc 0.0000 0.0000 0.0000  2 Pb 2.66, 4 Rb 2.80
Pt 0.5000 0.5000 0.5000  8 Rb 3.86, 4 Pb 3.96
Pb 0.0000 0.0000 0.5000  2 Tc 2.66

Energy of formation from the pure elements ... 1.30 eV per atom
Symmetry ... P4/mmm (123)
N(E_F) ... 7.010 states/eV/f.u.

[2]
DFT (GGA-PBE) results for a geometry-optimized ZrBrCl structure.

a b c (Å): 6.4162 3.4252 7.6168
angles (deg): 90.00 94.34 90.00
Closest atoms and distances in Å follow each position.
Positions (direct):
Zr 0.1958 0.2500 0.0061  3 Cl 2.63-2.64, 3 Br 2.80-2.89
Zr 0.8042 0.7500 0.9939  3 Cl 2.63-2.64, 3 Br 2.80-2.89
Br 0.4055 0.7500 0.7887  3 Zr 2.80-2.89
Br 0.5945 0.2500 0.2113  3 Zr 2.80-2.89
Cl 0.1010 0.7500 0.2510  3 Zr 2.63-2.64
Cl 0.8990 0.2500 0.7490  3 Zr 2.63-2.64

Symmetry ... P2_1/m (11)
E_form (uncorrected) ... -4.300 eV per formula unit

no.,magnetization (μB per formula unit)
1,0.82
2,0.00